An optimized crystal structure of Ba2AsRuN, computed with PBE.

Values from the calculation:
- Theoretical density: 5.9 g/cm³
- Space-group type: P4/mmm (123)
- Formation energy without anion corrections: -0.444 eV per atom
- Total moment: 0.4 μB/f.u.

Geometry as extended XYZ:
```
5
Lattice="-4.0227 0.8411 -4.2080 -2.3713 -5.2429 1.2190 -2.3038 1.6298 2.5281" Properties=species:S:1:pos:R:3 pbc="T T T"
Ru -1.1519 0.8149 1.2641
As -4.3489 -1.3860 -0.2305
Ba -1.1857 -2.6214 0.6095
Ba -2.0113 0.4205 -2.1040
N 0.0000 0.0000 0.0000
```

An optimized crystal structure of BaAsS2N, computed with PBE.

Values from the calculation:
- Theoretical density: 4.6 g/cm³
- Space-group type: P4/mmm (123)
- Energy above the lowest structure with this stoichiometry: 0 meV per atom
- Formation energy without anion corrections: -0.231 eV per atom
- Total moment: 1.2 μB/f.u.

Geometry as extended XYZ:
```
5
Lattice="-4.5230 -1.8637 1.3818 1.7972 -0.8996 4.6692 -1.1615 3.6753 1.1552" Properties=species:S:1:pos:R:3 pbc="T T T"
S 0.8986 -0.4498 2.3346
S -2.2615 -0.9318 0.6909
As 0.0000 0.0000 0.0000
Ba -1.9437 0.4560 3.6031
N -0.5807 1.8376 0.5776
```

An optimized crystal structure of BaAsS2N, computed with PBE.

Values from the calculation:
- Theoretical density: 2.6 g/cm³
- Space-group type: P4/mmm (123)
- Energy above the lowest structure with this stoichiometry: 1525 meV per atom
- Formation energy without anion corrections: 1.294 eV per atom
- Total moment: 2.0 μB/f.u.

Geometry as extended XYZ:
```
5
Lattice="6.0086 0.0000 0.0000 0.0000 6.0086 0.0000 0.0000 0.0000 5.2169" Properties=species:S:1:pos:R:3 pbc="T T T"
S 0.0000 3.0043 0.0000
S 3.0043 0.0000 0.0000
As 3.0043 3.0043 2.6085
Ba 0.0000 0.0000 0.0000
N 0.0000 0.0000 2.6085
```

An optimized crystal structure of BaAsSeN2, computed with PBE.

Values from the calculation:
- Theoretical density: 5.5 g/cm³
- Space-group type: P4/mmm (123)
- Energy above the lowest structure with this stoichiometry: 0 meV per atom
- Formation energy without anion corrections: 0.506 eV per atom
- Total moment: 2.1 μB/f.u.

Geometry as extended XYZ:
```
5
Lattice="4.3353 0.0000 0.0000 0.0000 4.3353 0.0000 0.0000 0.0000 5.1482" Properties=species:S:1:pos:R:3 pbc="T T T"
As 0.0000 0.0000 0.0000
Ba 2.1676 2.1676 2.5741
Se 0.0000 0.0000 2.5741
N 0.0000 2.1676 0.0000
N 2.1676 0.0000 0.0000
```

An optimized crystal structure of BaAsSeN2, computed with PBE.

Values from the calculation:
- Theoretical density: 3.7 g/cm³
- Space-group type: P4/mmm (123)
- Energy above the lowest structure with this stoichiometry: 1263 meV per atom
- Formation energy without anion corrections: 1.769 eV per atom
- Total moment: 3.5 μB/f.u.

Geometry as extended XYZ:
```
5
Lattice="4.5218 0.0000 0.0000 0.0000 4.5218 0.0000 0.0000 0.0000 6.9254" Properties=species:S:1:pos:R:3 pbc="T T T"
As 2.2609 2.2609 3.4627
Ba 0.0000 0.0000 0.0000
Se 0.0000 0.0000 3.4627
N 0.0000 2.2609 0.0000
N 2.2609 0.0000 0.0000
```

An optimized crystal structure of BaAsSeN2, computed with PBE.

Values from the calculation:
- Theoretical density: 4.5 g/cm³
- Space-group type: P4/mmm (123)
- Energy above the lowest structure with this stoichiometry: 870 meV per atom
- Formation energy without anion corrections: 1.377 eV per atom
- Total moment: 3.4 μB/f.u.

Geometry as extended XYZ:
```
5
Lattice="4.2811 0.0000 0.0000 0.0000 6.4062 0.0000 0.0000 0.0000 4.2811" Properties=species:S:1:pos:R:3 pbc="T T T"
As 2.1406 3.2031 2.1406
Ba 0.0000 3.2031 0.0000
Se 0.0000 0.0000 0.0000
N 0.0000 0.0000 2.1406
N 2.1406 0.0000 0.0000
```

An optimized crystal structure of Ba3SrAs2N, computed with PBE.

Values from the calculation:
- Theoretical density: 4.8 g/cm³
- Space-group type: Immm (71)
- Formation energy without anion corrections: -0.858 eV per atom
- Total moment: 0.4 μB/f.u.

Geometry as extended XYZ:
```
7
Lattice="5.1721 0.0000 0.0000 0.0000 5.0416 0.0000 -2.5861 -2.5208 8.7235" Properties=species:S:1:pos:R:3 pbc="T T T"
Ba 0.0000 2.5208 0.0000
Ba 0.0000 0.0000 3.0137
Ba 2.5861 2.5208 5.7098
Sr 2.5861 0.0000 0.0000
As 2.5861 2.5208 2.3338
As 0.0000 0.0000 6.3897
N 0.0000 0.0000 0.0000
```

An optimized crystal structure of BaTe2AsN, computed with PBE.

Values from the calculation:
- Theoretical density: 4.2 g/cm³
- Space-group type: P4/mmm (123)
- Energy above the lowest structure with this stoichiometry: 1267 meV per atom
- Formation energy without anion corrections: 1.269 eV per atom
- Total moment: 0.0 μB/f.u.

Geometry as extended XYZ:
```
5
Lattice="-5.6700 0.7576 3.1833 -3.2295 -2.3205 -5.2002 0.3535 -4.0779 1.6002" Properties=species:S:1:pos:R:3 pbc="T T T"
As -4.2730 -2.8204 -0.2083
Te -1.6148 -1.1603 -2.6001
Te -2.8350 0.3788 1.5916
Ba 0.0000 0.0000 0.0000
N 0.1768 -2.0389 0.8001
```

An optimized crystal structure of BaTe2AsN, computed with PBE.

Values from the calculation:
- Theoretical density: 5.7 g/cm³
- Space-group type: P4/mmm (123)
- Energy above the lowest structure with this stoichiometry: 0 meV per atom
- Formation energy without anion corrections: 0.002 eV per atom
- Total moment: 0.3 μB/f.u.

Geometry as extended XYZ:
```
5
Lattice="-0.7987 1.3772 -5.8548 0.6659 -5.8496 -1.4668 -3.7348 -0.5221 0.3867" Properties=species:S:1:pos:R:3 pbc="T T T"
As 0.0000 0.0000 0.0000
Te 0.3329 -2.9248 -0.7334
Te -0.3993 0.6886 -2.9274
Ba -1.9338 -2.4973 -3.4674
N -1.8674 -0.2611 0.1933
```

An optimized crystal structure of Ba2Th4As3N2, computed with PBE.

Values from the calculation:
- Theoretical density: 8.1 g/cm³
- Space-group type: I4/mmm (139)
- Formation energy without anion corrections: -1.164 eV per atom
- Total moment: 0.0 μB/f.u.

Geometry as extended XYZ:
```
11
Lattice="-3.7242 2.9644 0.7851 -0.9750 -2.3156 4.1184 10.0574 7.6831 3.8752" Properties=species:S:1:pos:R:3 pbc="T T T"
Ba 4.6347 4.8149 3.8044
Ba 0.7236 3.5171 4.9743
Th 6.0462 5.6299 7.4223
Th 4.6716 8.2699 5.7557
Th 0.6867 0.0621 3.0230
Th -0.6879 2.7021 1.3564
As 0.0000 0.0000 0.0000
As 2.4752 2.5714 2.0317
As 2.8831 5.7606 6.7470
N 6.2941 6.5388 5.1665
N -0.9358 1.7932 3.6123
```

An optimized crystal structure of BaZnAs2N, computed with PBE.

Values from the calculation:
- Theoretical density: 5.4 g/cm³
- Space-group type: P4/mmm (123)
- Formation energy without anion corrections: 0.392 eV per atom
- Total moment: 0.4 μB/f.u.

Geometry as extended XYZ:
```
5
Lattice="5.4551 0.0000 0.0000 0.0000 3.7984 0.0000 0.0000 0.0000 5.4551" Properties=species:S:1:pos:R:3 pbc="T T T"
Zn 0.0000 0.0000 0.0000
As 0.0000 0.0000 2.7275
As 2.7275 0.0000 0.0000
Ba 2.7275 1.8992 2.7275
N 0.0000 1.8992 0.0000
```

An optimized crystal structure of Ba3NaAs6, computed with PBE.

Values from the calculation:
- Theoretical density: 4.9 g/cm³
- Space-group type: R-3c (167)
- Total moment: 0.0 μB/f.u.
- Energy of formation from the pure elements: -0.6987 eV per atom

Geometry as extended XYZ:
```
20
Lattice="8.4764 -0.1914 -1.2069 -1.3640 8.3682 -1.2069 -0.1665 -0.1914 8.5603" Properties=species:S:1:pos:R:3 pbc="T T T"
Ba 0.5225 6.1805 1.5342
Ba 2.2589 1.3738 5.8168
Ba 1.0449 5.5580 5.8145
Ba 5.9011 2.4274 0.3319
Ba 4.6871 6.6116 0.3296
Ba 6.4235 1.8049 4.6122
Na 0.0000 0.0000 0.0000
Na 3.4730 3.9927 3.0732
As 6.7021 4.6522 6.5992
As -0.0518 0.7034 3.2980
As 0.2059 3.2896 3.5258
As 3.3592 0.0461 0.2972
As 2.7695 3.9464 -0.2247
As 3.0534 7.3257 3.3702
As 3.8926 0.6596 2.7763
As 4.1765 4.0389 6.3711
As 3.5868 7.9393 5.8492
As 6.7401 4.6958 2.6206
As 6.9978 7.2820 2.8484
As 0.2439 3.3332 -0.4528
```

> What is the total moment in the fifth record?

3.5 μB/f.u.

> Among the records above, which one has the highest theoretical density?

Ba2Th4As3N2